No. 1
First-principles (PBE) data for an optimized crystal structure of Zn3CuPd, as listed in Alexandria.

Cell: 4.396 6.678 5.170 Å, 90.00 90.65 90.00°
Space group P2_1/m (No. 11)
One atom of each set of equivalent atoms:
Zn (0.153, 0.066, 0.274) (multiplicity 4)
Zn (0.344, 0.750, 0.988) (multiplicity 2)
Cu (0.160, 0.250, 0.785) (multiplicity 2)
Pd (0.355, 0.750, 0.503) (multiplicity 2)

## Properties
Formation energy: -139 meV/atom

=====

No. 2
First-principles (PBE) data for an optimized crystal structure of Zn8CuPd4, as listed in Alexandria.

Cell: 2.829 4.354 15.708 Å, 90.00 90.00 90.00°
Space group Pmm2 (No. 25)
One atom of each set of equivalent atoms:
Zn (0.000, 0.000, 0.000) (multiplicity 1)
Zn (0.000, 0.000, 0.277) (multiplicity 1)
Zn (0.000, 0.500, 0.157) (multiplicity 1)
Zn (0.000, 0.500, 0.469) (multiplicity 1)
Zn (0.500, 0.000, 0.423) (multiplicity 1)
Zn (0.500, 0.000, 0.714) (multiplicity 1)
Zn (0.500, 0.500, 0.624) (multiplicity 1)
Zn (0.500, 0.500, 0.934) (multiplicity 1)
Cu (0.500, 0.000, 0.865) (multiplicity 1)
Pd (0.000, 0.000, 0.568) (multiplicity 1)
Pd (0.000, 0.500, 0.779) (multiplicity 1)
Pd (0.500, 0.000, 0.138) (multiplicity 1)
Pd (0.500, 0.500, 0.319) (multiplicity 1)

## Properties
Formation energy: -317 meV/atom

=====

No. 3
First-principles (PBE) data for an optimized crystal structure of Zn2Cu8Pd, as listed in Alexandria.

Cell: 6.733 11.726 4.384 Å, 90.00 121.85 90.00°
Space group C2/m (No. 12)
One atom of each set of equivalent atoms:
Zn (0.000, 0.190, 0.000) (multiplicity 4)
Cu (0.000, 0.284, 0.500) (multiplicity 4)
Cu (0.073, 0.000, 0.306) (multiplicity 4)
Cu (0.211, 0.385, 0.148) (multiplicity 8)
Pd (0.000, 0.500, 0.500) (multiplicity 2)

## Properties
Formation energy: 68 meV/atom

=====

No. 4
First-principles (PBE) data for an optimized crystal structure of ZnCu5Pd8, as listed in Alexandria.

Cell: 7.374 7.374 7.674 Å, 90.00 90.00 90.00°
Space group I-4 (No. 82)
One atom of each set of equivalent atoms:
Zn (0.000, 0.000, 0.000) (multiplicity 2)
Cu (0.000, 0.500, 0.750) (multiplicity 2)
Cu (0.117, 0.710, 0.334) (multiplicity 8)
Pd (0.069, 0.831, 0.662) (multiplicity 8)
Pd (0.093, 0.679, 0.006) (multiplicity 8)

## Properties
Formation energy: -15 meV/atom

=====

No. 5
First-principles (PBE) data for an optimized crystal structure of ZnCu2Pd, as listed in Alexandria.

Cell: 5.313 3.733 5.408 Å, 90.00 91.58 90.00°
Space group P2_1/m (No. 11)
One atom of each set of equivalent atoms:
Zn (0.140, 0.250, 0.362) (multiplicity 2)
Cu (0.114, 0.250, 0.885) (multiplicity 2)
Cu (0.379, 0.750, 0.119) (multiplicity 2)
Pd (0.353, 0.750, 0.632) (multiplicity 2)

## Properties
Formation energy: -219 meV/atom

=====

No. 6
First-principles (PBE) data for an optimized crystal structure of Zn8Cu3Pd2, as listed in Alexandria.

Cell: 11.246 7.141 5.026 Å, 90.00 98.33 90.00°
Space group C2/m (No. 12)
One atom of each set of equivalent atoms:
Zn (0.093, 0.000, 0.391) (multiplicity 4)
Zn (0.114, 0.187, 0.924) (multiplicity 8)
Zn (0.193, 0.500, 0.315) (multiplicity 4)
Cu (0.000, 0.330, 0.500) (multiplicity 4)
Cu (0.000, 0.500, 0.000) (multiplicity 2)
Pd (0.208, 0.500, 0.812) (multiplicity 4)

## Properties
Formation energy: -136 meV/atom

=====

No. 7
First-principles (PBE) data for an optimized crystal structure of Zn7CuPd2, as listed in Alexandria.

Cell: 4.2082 4.2082 10.5196 Å, 90.00 90.00 120.00°
Space group P3m1 (No. 156)
One atom of each set of equivalent atoms:
Zn (0.0000, 0.0000, 0.0000) (multiplicity 1)
Zn (0.0000, 0.0000, 0.2539) (multiplicity 1)
Zn (0.0000, 0.0000, 0.7371) (multiplicity 1)
Zn (0.3333, 0.6667, 0.4031) (multiplicity 1)
Zn (0.3333, 0.6667, 0.9037) (multiplicity 1)
Zn (0.6667, 0.3333, 0.1086) (multiplicity 1)
Zn (0.6667, 0.3333, 0.5906) (multiplicity 1)
Cu (0.3333, 0.6667, 0.1580) (multiplicity 1)
Pd (0.0000, 0.0000, 0.4962) (multiplicity 1)
Pd (0.6667, 0.3333, 0.8435) (multiplicity 1)

## Properties
Formation energy: -166 meV/atom

=====

No. 8
First-principles (PBE) data for an optimized crystal structure of ZnCu2Pd2, as listed in Alexandria.

Cell: 4.333 5.556 12.034 Å, 90.00 90.00 90.00°
Space group Imma (No. 74)
One atom of each set of equivalent atoms:
Zn (0.000, 0.250, 0.122) (multiplicity 4)
Cu (0.000, 0.250, 0.501) (multiplicity 4)
Cu (0.000, 0.250, 0.881) (multiplicity 4)
Pd (0.000, 0.001, 0.680) (multiplicity 8)

## Properties
Formation energy: -164 meV/atom

=====

- What is the formation energy in the sixth record?
  -136 meV/atom